A plane-wave DFT calculation with PBE was carried out for a relaxed NaSeI3 crystal.

The structure belongs to space group P-1 (No. 2); the cell edges are 6.156, 8.457 and 10.478 Å and the angles 68.32°, 73.78° and 77.74°. The inequivalent atoms are Na at (0.174, 0.130, 0.071), Se at (0.152, 0.457, 0.417), I at (0.029, 0.489, 0.141), I at (0.352, 0.951, 0.837) and I at (0.371, 0.730, 0.316).

For the calculated volume, the calculation gives 48.31 Å³ per atom. The calculation puts the distance to the lowest polymorph of the same formula at 7 meV/atom. Its total moment is 0.0 Bohr magnetons per cell.

=====

A plane-wave DFT calculation with PBE was carried out for a relaxed NaSe2I crystal.

The structure belongs to space group R-3m (No. 166, hexagonal axes); the cell edges are 3.9225, 3.9225 and 27.5121 Å and the angles 90.00°, 90.00° and 120.00°. The inequivalent atoms are Na at (0.0000, 0.0000, 0.0000), Se at (0.0000, 0.0000, 0.4038) and I at (0.0000, 0.0000, 0.5000).

For the calculated volume, the calculation gives 30.55 Å³ per atom. The calculation puts the distance to the lowest polymorph of the same formula at 2 meV/atom. Its total moment is 0.0 Bohr magnetons per cell.

=====

A plane-wave DFT calculation with PBE was carried out for a relaxed NaSe2I2 crystal.

The structure belongs to space group P4/mbm (No. 127); the cell edges are 8.706, 8.706 and 4.816 Å and the angles 90.00°, 90.00° and 90.00°. The inequivalent atoms are Na at (0.000, 0.000, 0.000), Se at (0.090, 0.410, 0.000) and I at (0.240, 0.740, 0.500).

For the calculated volume, the calculation gives 36.50 Å³ per atom. The calculation puts the distance to the lowest polymorph of the same formula at 194 meV/atom. Its total moment is 0.0 Bohr magnetons per cell.

=====

A plane-wave DFT calculation with PBE was carried out for a relaxed NaSe2I2 crystal.

The structure belongs to space group P4/mbm (No. 127); the cell edges are 8.925, 8.925 and 5.688 Å and the angles 90.00°, 90.00° and 90.00°. The inequivalent atoms are Na at (0.000, 0.000, 0.000), Se at (0.086, 0.414, 0.500) and I at (0.227, 0.273, 0.000).

For the calculated volume, the calculation gives 45.30 Å³ per atom. The calculation puts the distance to the lowest polymorph of the same formula at 104 meV/atom. Its total moment is 2.0 Bohr magnetons per cell.

=====

A plane-wave DFT calculation with PBE was carried out for a relaxed NaSeI2 crystal.

The structure belongs to space group R-3m (No. 166, hexagonal axes); the cell edges are 5.1537, 5.1537 and 27.0832 Å and the angles 90.00°, 90.00° and 120.00°. The inequivalent atoms are Na at (0.0000, 0.0000, 0.0000), Se at (0.0000, 0.0000, 0.5000) and I at (0.0000, 0.0000, 0.1064).

For the calculated volume, the calculation gives 51.91 Å³ per atom. The calculation puts the distance to the lowest polymorph of the same formula at 314 meV/atom. Its total moment is 8.4 Bohr magnetons per cell.

=====

A plane-wave DFT calculation with PBE was carried out for a relaxed NaSeI3 crystal.

The structure belongs to space group P2_1/c (No. 14); the cell edges are 9.324, 9.074 and 9.834 Å and the angles 90.00°, 97.80° and 90.00°. The inequivalent atoms are Na at (0.120, 0.019, 0.215), Se at (0.490, 0.739, 0.916), I at (0.101, 0.225, 0.945), I at (0.218, 0.743, 0.958) and I at (0.496, 0.010, 0.245).

For the calculated volume, the calculation gives 41.21 Å³ per atom. The calculation puts the distance to the lowest polymorph of the same formula at 0 meV/atom. Its total moment is 0.0 Bohr magnetons per cell.

=====

A plane-wave DFT calculation with PBE was carried out for a relaxed Na2Se4I3 crystal.

The structure belongs to space group C2/m (No. 12); the cell edges are 12.082, 5.517 and 10.582 Å and the angles 90.00°, 113.41° and 90.00°. The inequivalent atoms are Na at (0.189, 0.000, 0.323), Se at (0.229, 0.000, 0.749), Se at (0.236, 0.000, 0.969), I at (0.000, 0.000, 0.000) and I at (0.083, 0.500, 0.388).

For the calculated volume, the calculation gives 35.96 Å³ per atom. For the raw total energy, the calculation gives -2.76 eV/atom. Its total moment is 0.0 Bohr magnetons per cell.

=====

A plane-wave DFT calculation with PBE was carried out for a relaxed Na2SeI crystal.

The structure belongs to space group I-42d (No. 122); the cell edges are 8.321, 8.321 and 6.700 Å and the angles 90.00°, 90.00° and 90.00°. The inequivalent atoms are Na at (0.212, 0.750, 0.125), Se at (0.000, 0.000, 0.000) and I at (0.000, 0.000, 0.500).

For the calculated volume, the calculation gives 28.99 Å³ per atom. The calculation puts the distance to the lowest polymorph of the same formula at 0 meV/atom. Its total moment is 0.0 Bohr magnetons per cell.